DFT (PBE-GGA) results for ReWSe2N after structural relaxation. Values from VASP.

The structure in Quantum ESPRESSO input format:
```
&SYSTEM
  ibrav = 0, nat = 5, ntyp = 4
/
ATOMIC_SPECIES
Re 186.21 Re.upf
W 183.84 W.upf
Se 78.96 Se.upf
N 14.01 N.upf
ATOMIC_POSITIONS crystal
Re 0.0000 0.0000 0.0000
W 0.0000 0.0000 0.5000
Se 0.0000 0.5000 0.5000
Se 0.5000 0.0000 0.5000
N 0.5000 0.5000 0.0000
CELL_PARAMETERS angstrom
4.7541 0.0000 0.0000
0.0000 4.7541 0.0000
0.0000 0.0000 4.9570
```

Computed properties:
Total magnetic moment ... 0.00 μB/cell
Space-group type ... P4/mmm
Energy above the most stable polymorph in this dataset ... 645 kJ/mol of formula units
E_form (uncorrected) ... 2.387 eV/atom